Record 1
VASP calculation (GGA-PBE) on LiPrSbH after structural relaxation.

The final energy is -34.986 eV for the cell shown. The calculation puts the mass density at 5.7 Mg/m³.

The structure belongs to space group P4/nmm (No. 129, origin choice 2); the cell edges are 4.317, 4.317 and 8.409 Å and the angles 90.00°, 90.00° and 90.00°. The inequivalent atoms are Li at (0.250, 0.750, 0.000), Pr at (0.250, 0.250, 0.367), Sb at (0.250, 0.250, 0.789) and H at (0.250, 0.750, 0.500).

***

Record 2
VASP calculation (GGA-PBE) on KRbHg after structural relaxation.

The final energy is -11.356 eV for the cell shown. The calculation puts the energy above the lowest structure with this stoichiometry at 0.04 eV/f.u. The calculation puts the mass density at 3.4 Mg/m³. Its formation energy is -157 meV per atom.

The structure belongs to space group C2/m (No. 12); the cell edges are 15.129, 5.045 and 10.356 Å and the angles 90.00°, 125.61° and 90.00°. The inequivalent atoms are K at (0.086, 0.000, 0.381), Rb at (0.174, 0.500, 0.086) and Hg at (0.107, 0.500, 0.660).